A plane-wave DFT calculation with PBE with a Hubbard U was carried out for a geometry-optimized Ca2VSbO6 structure.

Summary:
E above lowest polymorph, kJ/mol of formula units: 43.0

Unit cell a=5.5150 b=7.7496 c=5.6864 alpha=90.00 beta=90.04 gamma=90.00
Space group P2_1/m (No. 11)
Unique sites:
Ca (0.0047, 0.2500, 0.4555)
Ca (0.4813, 0.2500, 0.9365)
V (0.5000, 0.0000, 0.5000)
Sb (0.0000, 0.0000, 0.0000)
O (0.1055, 0.7500, 0.9647)
O (0.1885, 0.0498, 0.7082)
O (0.2936, 0.0477, 0.1921)
O (0.4284, 0.7500, 0.4792)